{"formula": "LiAl2Re", "functional": "GGA-PBE", "state": "relaxed", "crystal_system": "tetragonal", "total_energy_ev_per_atom": -5.50, "sg": "P4/mmm, No. 123", "rho_g_cm3": 6.46, "ef_ev_per_atom": -0.038, "lattice": [[-1.6779, -2.2085, -0.1562], [0.9670, -0.9074, 2.4410], [-5.8968, 4.2043, 3.8990]], "species": ["Al", "Re", "Al", "Li"], "fractional_positions": [[0.0000, 0.0000, 0.5208], [0.5000, 0.5000, 0.7500], [0.0000, 0.0000, 0.9792], [0.5000, 0.5000, 0.2500]]}